First-principles (GGA-PBE) data for an optimized crystal structure of EuAl3Os, as listed in Alexandria via LeMat-Bulk.

Properties
Magnetization, μB per cell: 7.4

Cell lengths 4.7729, 4.7729, 4.7729 Å; angles 90.00, 90.00, 90.00 degrees
Closest atoms and distances in Å follow each position.
Fractional coordinates of all 5 atoms:
Al 0.0000 0.0000 0.5000  2 Os 2.39
Al 0.0000 0.5000 0.0000  2 Os 2.39
Al 0.5000 0.0000 0.0000  2 Os 2.39
Os 0.0000 0.0000 0.0000  6 Al 2.39
Eu 0.5000 0.5000 0.5000  12 Al 3.37

First-principles (GGA-PBE) data for an optimized crystal structure of Si2TcSe, as listed in Alexandria via LeMat-Bulk.

Properties
Magnetization, μB per cell: 0.0

Cell lengths 3.0612, 2.9844, 9.2330 Å; angles 49.86, 90.00, 90.00 degrees
Closest atoms and distances in Å follow each position.
Fractional coordinates of all 4 atoms:
Se 0.5000 0.7500 0.7500  4 Si 2.64
Tc 0.5000 0.2500 0.2500  8 Si 2.54
Si 0.0000 0.3616 0.4444  4 Tc 2.54, 2 Se 2.64, 1 Si 2.74
Si 0.0000 0.1384 0.0556  4 Tc 2.54, 2 Se 2.64, 1 Si 2.74

Number 1: total DFT energy (no corrections) -34.49 eV for the cell shown. Number 2: total DFT energy (no corrections) -24.91 eV for the cell shown.